DFT (GGA-PBE) results for GdSnAuO3 after structural relaxation.

a = 3.5985 Å, b = 12.8631 Å, c = 8.3475 Å
α = 90.00°, β = 90.00°, γ = 90.00°
With the nearest neighbours (Å) after each atom.
Space group Cmcm (No. 63)
Asymmetric unit:
Gd: 0.0000 0.0000 0.0000 x4  6 O 2.32
Sn: 0.0000 0.3214 0.2500 x4  4 O 2.21-2.26
Au: 0.0000 0.3558 0.7500 x4  2 O 2.11
O: 0.0000 0.0787 0.7500 x4  2 Sn 2.21, 2 Gd 2.32
O: 0.0000 0.3865 0.5021 x8  1 Au 2.11, 1 Sn 2.26, 2 Gd 2.32

The crystal system is orthorhombic. For the total energy, the calculation gives -0.2311 Ha/atom.


DFT (GGA-PBE) results for LaPrSn2Hg2 after structural relaxation.

a = 4.8213 Å, b = 4.8213 Å, c = 16.8685 Å
α = 90.00°, β = 90.00°, γ = 120.00°
With the nearest neighbours (Å) after each atom.
Space group P6_3/mmc (No. 194)
Asymmetric unit:
La: 0.0000 0.0000 0.0000 x2  6 Sn 3.32
Pr: 0.0000 0.0000 0.2500 x2  6 Hg 3.21
Sn: 0.3333 0.6667 0.1071 x4  3 Hg 2.90
Hg: 0.3333 0.6667 0.6553 x4  3 Sn 2.90, 1 Hg 3.19, 3 Pr 3.21

The crystal system is hexagonal. For the total energy, the calculation gives -0.1352 Ha/atom.


DFT (GGA-PBE) results for Fe2TeI8 after structural relaxation.

a = 12.8519 Å, b = 10.7759 Å, c = 8.4398 Å
α = 90.00°, β = 92.60°, γ = 90.00°
With the nearest neighbours (Å) after each atom.
Space group C2/m (No. 12)
Asymmetric unit:
Fe: 0.2020 0.0000 0.3091 x4  4 I 2.49-2.64
Te: 0.0000 0.0000 0.0000 x2  4 I 2.97
I: 0.0746 0.1865 0.2388 x8  1 Fe 2.64
I: 0.1479 0.5000 0.8676 x4  1 Fe 2.49
I: 0.2500 0.0000 0.5983 x4  1 Fe 2.49

The crystal system is monoclinic. For the total energy, the calculation gives -0.1120 Ha/atom.


DFT (GGA-PBE) results for Hf2ZnGaCo2Ir2 after structural relaxation.

a = 4.3870 Å, b = 4.3870 Å, c = 6.1889 Å
α = 90.00°, β = 90.00°, γ = 90.00°
With the nearest neighbours (Å) after each atom.
Space group P-4m2 (No. 115)
Asymmetric unit:
Hf: 0.0000 0.0000 0.0000 x1  4 Ir 2.68, 4 Co 2.68
Hf: 0.5000 0.5000 0.5000 x1  4 Co 2.69, 4 Ir 2.69
Zn: 0.0000 0.0000 0.5000 x1  4 Co 2.69, 4 Ir 2.69
Ga: 0.5000 0.5000 0.0000 x1  4 Ir 2.68, 4 Co 2.68
Co: 0.0000 0.5000 0.2493 x2  4 Hf 2.68-2.69, 2 Ga 2.68, 2 Zn 2.69
Ir: 0.0000 0.5000 0.7526 x2  4 Hf 2.68-2.69, 2 Ga 2.68, 2 Zn 2.69

The crystal system is tetragonal. For the total energy, the calculation gives -0.2795 Ha/atom.


DFT (GGA-PBE) results for IrOF after structural relaxation.

a = 5.2190 Å, b = 10.9736 Å, c = 9.9811 Å
α = 90.00°, β = 90.00°, γ = 90.00°
With the nearest neighbours (Å) after each atom.
Space group Pbca (No. 61)
Asymmetric unit:
Ir: 0.1063 0.2499 0.1430 x8  3 O 1.98-2.01, 1 F 2.10
Ir: 0.1910 0.5175 0.3800 x8  3 O 1.98-2.08, 3 F 2.01-2.19
O: 0.0579 0.1137 0.0137 x8  3 Ir 1.98-2.08
O: 0.1436 0.6526 0.2474 x8  3 Ir 1.98-2.01
F: 0.0362 0.5799 0.7517 x8  3 Ir 2.07-2.27
F: 0.0700 0.1168 0.4938 x8  2 Ir 2.01-2.10

The crystal system is orthorhombic. For the total energy, the calculation gives -0.2074 Ha/atom.


DFT (GGA-PBE) results for CuNiSnPd after structural relaxation.

a = 6.1598 Å, b = 6.1598 Å, c = 6.1598 Å
α = 90.00°, β = 90.00°, γ = 90.00°
With the nearest neighbours (Å) after each atom.
Space group F-43m (No. 216)
Asymmetric unit:
Cu: 0.0000 0.0000 0.0000 x4  4 Pd 2.67, 4 Sn 2.67
Ni: 0.0000 0.0000 0.5000 x4  4 Sn 2.67, 4 Pd 2.67
Sn: 0.2500 0.2500 0.7500 x4  4 Ni 2.67, 4 Cu 2.67
Pd: 0.2500 0.2500 0.2500 x4  4 Ni 2.67, 4 Cu 2.67

The crystal system is cubic. For the total energy, the calculation gives -0.1768 Ha/atom.


DFT (GGA-PBE) results for NbCdB2 after structural relaxation.

a = 6.0467 Å, b = 6.0467 Å, c = 6.0467 Å
α = 90.00°, β = 90.00°, γ = 90.00°
With the nearest neighbours (Å) after each atom.
Space group F-43m (No. 216)
Asymmetric unit:
Nb: 0.0000 0.0000 0.0000 x4  4 Cd 2.62, 4 B 2.62
Cd: 0.2500 0.2500 0.2500 x4  4 Nb 2.62, 4 B 2.62
B: 0.0000 0.0000 0.5000 x4  4 Cd 2.62, 4 B 2.62
B: 0.2500 0.2500 0.7500 x4  4 Nb 2.62, 4 B 2.62

The crystal system is cubic. For the total energy, the calculation gives -0.1624 Ha/atom.


DFT (GGA-PBE) results for SmHoMg6 after structural relaxation.

a = 5.1761 Å, b = 5.1761 Å, c = 7.3700 Å
α = 90.00°, β = 90.00°, γ = 90.00°
With the nearest neighbours (Å) after each atom.
Space group P4/mmm (No. 123)
Asymmetric unit:
Sm: 0.0000 0.0000 0.0000 x1  8 Mg 3.20
Ho: 0.5000 0.5000 0.5000 x1  8 Mg 3.15
Mg: 0.0000 0.0000 0.5000 x1  8 Mg 3.15
Mg: 0.0000 0.5000 0.2558 x4  2 Ho 3.15, 4 Mg 3.15-3.20, 2 Sm 3.20
Mg: 0.5000 0.5000 0.0000 x1  8 Mg 3.20

The crystal system is tetragonal. For the total energy, the calculation gives -0.0884 Ha/atom.